Record 1
Computed, not measured: AcMg6Zn3 after structural relaxation at the GGA-PBE level of DFT.

Calculated total energy ... -1.86 eV per atom
N(E_F) ... 0.51 states/eV per atom
Space-group type ... No. 11

```
AcMg6Zn3
1.0
-3.3401 1.0068 2.9281
5.0185 -4.9851 7.4386
4.9711 7.7396 3.0095
Mg Zn Ac
12 6 2
direct
0.7500 0.6749 0.3058
0.2500 0.4671 0.3928
0.2500 0.0510 0.5778
0.7500 0.9490 0.4222
0.7500 0.4157 0.1767
0.2500 0.7468 0.5236
0.7500 0.5329 0.6072
0.7500 0.2532 0.4764
0.2500 0.5843 0.8233
0.2500 0.2905 0.0228
0.2500 0.3251 0.6942
0.7500 0.7095 0.9772
0.2500 0.8578 0.8129
0.7500 0.4103 0.8787
0.2500 0.2034 0.3085
0.2500 0.5897 0.1213
0.7500 0.7966 0.6915
0.7500 0.1422 0.1871
0.7500 0.0840 0.8474
0.2500 0.9160 0.1526
```

***

Record 2
Computed, not measured: Ac2Mg16Zn after structural relaxation at the GGA-PBE level of DFT.

Calculated total energy ... -1.92 eV per atom
N(E_F) ... 0.43 states/eV per atom
Space-group type ... No. 160

```
Ac2Mg16Zn
1.0
-0.9648 6.8267 -3.7831
-2.2767 -2.9933 -6.9068
-7.7545 0.6800 1.1190
Mg Zn Ac
16 1 2
direct
0.5066 0.9983 0.9983
0.0007 0.2972 0.7047
0.6523 0.1594 0.6523
0.6523 0.6523 0.1594
0.8442 0.3491 0.3491
0.2972 0.0007 0.7047
0.2972 0.7047 0.0007
0.7047 0.2972 0.0007
0.3491 0.3491 0.8442
0.3491 0.8442 0.3491
0.0870 0.0870 0.0870
0.0007 0.7047 0.2972
0.7047 0.0007 0.2972
0.1594 0.6523 0.6523
0.9983 0.5066 0.9983
0.9983 0.9983 0.5066
0.8953 0.8953 0.8953
0.6701 0.6701 0.6701
0.3329 0.3329 0.3329
```

***

Record 3
Computed, not measured: AcMgZn after structural relaxation at the GGA-PBE level of DFT.

Calculated total energy ... -2.39 eV per atom
N(E_F) ... 1.16 states/eV per atom
Space-group type ... No. 107

```
AcMgZn
1.0
3.6367 0.0000 0.0000
0.0000 3.6367 0.0000
-1.8183 -1.8183 6.2572
Ac Mg Zn
1 1 1
direct
0.0120 0.0120 0.0239
0.3027 0.3027 0.6054
0.6853 0.6853 0.3706
```

***

Record 4
Computed, not measured: AcMg5Zn3 after structural relaxation at the GGA-PBE level of DFT.

Calculated total energy ... -1.88 eV per atom
N(E_F) ... 0.53 states/eV per atom
Space-group type ... No. 63

```
AcMg5Zn3
1.0
-1.8871 0.3016 3.7937
-5.5042 -1.1422 -5.0255
1.2530 -13.5021 1.6966
Zn Ac Mg
6 2 10
direct
0.6158 0.2316 0.0607
0.3842 0.7684 0.9393
0.3842 0.7684 0.5607
0.8612 0.7223 0.2500
0.1388 0.2777 0.7500
0.6158 0.2316 0.4393
0.1655 0.3309 0.2500
0.8345 0.6691 0.7500
0.0000 0.0000 0.0000
0.1978 0.3956 0.5585
0.5581 0.1162 0.8553
0.8022 0.6044 0.0585
0.1978 0.3956 0.9415
0.4419 0.8838 0.1447
0.5581 0.1162 0.6447
0.8022 0.6044 0.4415
0.0000 0.0000 0.5000
0.4419 0.8838 0.3553
```

***

Record 5
Computed, not measured: AcMg11Zn after structural relaxation at the GGA-PBE level of DFT.

Calculated total energy ... -1.84 eV per atom
N(E_F) ... 0.43 states/eV per atom
Space-group type ... No. 12

```
AcMg11Zn
1.0
5.4839 -0.0286 2.2847
2.6512 7.2205 1.1045
-0.0456 -0.0143 7.8333
Mg Zn Ac
11 1 1
direct
0.0000 0.0000 0.5000
0.0000 0.5000 0.0000
0.7094 0.7771 0.7870
0.5036 0.2229 0.7870
0.5000 0.0000 0.5000
0.4964 0.7771 0.2130
0.3550 0.6422 0.6513
0.6450 0.3578 0.3487
0.0063 0.6422 0.3487
0.9937 0.3578 0.6513
0.2906 0.2229 0.2130
0.5000 0.5000 0.0000
0.0000 0.0000 0.0000
```

***

Record 6
Computed, not measured: Ac5Mg4Zn after structural relaxation at the GGA-PBE level of DFT.

Calculated total energy ... -2.93 eV per atom
N(E_F) ... 1.14 states/eV per atom
Space-group type ... No. 123

```
Ac5Mg4Zn
1.0
4.0625 0.0000 0.0000
0.0000 4.0625 0.0000
0.0000 0.0000 20.4887
Mg Ac Zn
4 5 1
direct
0.0000 0.0000 0.1955
0.0000 0.0000 0.3982
0.0000 0.0000 0.8045
0.0000 0.0000 0.6018
0.5000 0.5000 0.9093
0.5000 0.5000 0.5000
0.5000 0.5000 0.7032
0.5000 0.5000 0.0907
0.5000 0.5000 0.2968
0.0000 0.0000 0.0000
```

***

Record 7
Computed, not measured: Ac3Mg7Zn2 after structural relaxation at the GGA-PBE level of DFT.

Calculated total energy ... -2.32 eV per atom
N(E_F) ... 0.75 states/eV per atom
Space-group type ... No. 166

```
Ac3Mg7Zn2
1.0
6.2347 0.0000 0.0000
3.1173 5.3994 0.0000
3.1173 1.7998 9.6881
Mg Ac Zn
7 3 2
direct
0.5769 0.5769 0.7707
0.4231 0.9245 0.2293
0.4231 0.4231 0.2293
0.0755 0.5769 0.7707
0.9245 0.4231 0.2293
0.5769 0.0755 0.7707
0.5000 0.5000 0.5000
0.1437 0.1437 0.5689
0.8563 0.8563 0.4311
0.0000 0.0000 0.0000
0.3340 0.3340 0.9979
0.6660 0.6660 0.0021
```

***

Record 8
Computed, not measured: Ac2Mg5Zn12 after structural relaxation at the GGA-PBE level of DFT.

Calculated total energy ... -1.86 eV per atom
N(E_F) ... 0.26 states/eV per atom
Space-group type ... No. 166

```
Ac2Mg5Zn12
1.0
7.1851 0.1777 0.7974
0.7331 7.1498 0.7974
0.1921 0.1777 7.2266
Ac Zn Mg
2 12 5
direct
0.3431 0.3431 0.3431
0.6569 0.6569 0.6569
0.0000 0.7138 0.2862
0.7138 0.2862 0.0000
0.8357 0.3526 0.3526
0.6474 0.1643 0.6474
0.2862 0.0000 0.7138
0.3526 0.8357 0.3526
0.7138 0.0000 0.2862
0.1643 0.6474 0.6474
0.0000 0.2862 0.7138
0.6474 0.6474 0.1643
0.3526 0.3526 0.8357
0.2862 0.7138 0.0000
0.0994 0.0994 0.0994
0.9006 0.9006 0.9006
0.0000 0.5000 0.0000
0.0000 0.0000 0.5000
0.5000 0.0000 0.0000
```

***

Record 9
Computed, not measured: Ac3Mg2Zn7 after structural relaxation at the GGA-PBE level of DFT.

Calculated total energy ... -2.24 eV per atom
N(E_F) ... 0.65 states/eV per atom
Space-group type ... No. 166

```
Ac3Mg2Zn7
1.0
-0.3935 -3.5003 -4.7158
4.7678 -2.8376 -1.9650
-0.5192 -9.1841 3.1868
Zn Ac Mg
7 3 2
direct
0.0812 0.5839 0.7510
0.4161 0.4161 0.2490
0.4161 0.9188 0.2490
0.9188 0.4161 0.2490
0.5839 0.0812 0.7510
0.5000 0.5000 0.5000
0.5839 0.5839 0.7510
0.0000 0.0000 0.0000
0.8590 0.8590 0.4230
0.1410 0.1410 0.5770
0.3339 0.3339 0.9984
0.6661 0.6661 0.0016
```

***

Record 10
Computed, not measured: AcMgZn after structural relaxation at the GGA-PBE level of DFT.

Calculated total energy ... -2.40 eV per atom
N(E_F) ... 1.66 states/eV per atom
Space-group type ... No. 216

```
AcMgZn
1.0
5.0707 0.0000 0.0000
2.5354 4.3914 0.0000
2.5354 1.4638 4.1402
Ac Zn Mg
1 1 1
direct
0.0000 0.0000 0.0000
0.2500 0.2500 0.2500
0.5000 0.5000 0.5000
```

***

Record 11
Computed, not measured: Ac2Mg3Zn2 after structural relaxation at the GGA-PBE level of DFT.

Calculated total energy ... -2.37 eV per atom
N(E_F) ... 0.89 states/eV per atom
Space-group type ... No. 12

```
Ac2Mg3Zn2
1.0
4.7321 0.0000 0.0000
-2.3660 5.4812 0.1051
0.0000 -1.1285 7.4336
Zn Ac Mg
2 2 3
direct
0.9179 0.8357 0.3349
0.0821 0.1643 0.6651
0.3740 0.7479 0.6489
0.6260 0.2521 0.3511
0.3172 0.6344 0.1314
0.6828 0.3656 0.8686
0.0000 0.0000 0.0000
```

***

Record 12
Computed, not measured: Ac4MgZn3 after structural relaxation at the GGA-PBE level of DFT.

Calculated total energy ... -2.93 eV per atom
N(E_F) ... 0.95 states/eV per atom
Space-group type ... No. 47

```
Ac4MgZn3
1.0
-0.4088 -3.2935 2.1725
3.9131 1.8541 3.5471
-7.9055 5.0076 6.1036
Ac Zn Mg
4 3 1
direct
0.0000 0.5000 0.2599
0.0000 0.0000 0.0000
0.0000 0.5000 0.7401
0.0000 0.0000 0.5000
0.5000 0.5000 0.5000
0.5000 0.0000 0.7559
0.5000 0.0000 0.2441
0.5000 0.5000 0.0000
```